Computed, not measured: Li4MnIn at its PBEsol-relaxed geometry at the SCAN level of DFT.

Properties
SG: F-43m (216)
size of the total moment: 3.80 Bohr magnetons per cell
E: -10.3026 eV per atom
energy of formation: -0.102 eV per atom

a b c (Å): 5.0938 5.0938 5.0938
angles (deg): 60.00 60.00 60.00
Last column: nearest neighbours and their distance in Å.
Fractional positions:
Li (0.3754, 0.8739, 0.3754)  6 Li 2.54-2.55
In (0.0000, 0.0000, 0.0000)  12 Li 2.99, 4 Mn 3.12
Li (0.8739, 0.3754, 0.3754)  6 Li 2.54-2.55
Li (0.3754, 0.3754, 0.8739)  6 Li 2.54-2.55
Li (0.3754, 0.3754, 0.3754)  6 Li 2.54-2.55
Mn (0.7500, 0.7500, 0.7500)  12 Li 2.99, 4 In 3.12

=====

Computed, not measured: LiMn2In at its PBEsol-relaxed geometry at the SCAN level of DFT.

Properties
SG: C2/m (12)
size of the total moment: 7.58 Bohr magnetons per cell
E: -18.0231 eV per atom
energy of formation: 0.048 eV per atom

a b c (Å): 2.7886 4.8504 5.2711
angles (deg): 115.11 101.67 97.78
Last column: nearest neighbours and their distance in Å.
Fractional positions:
Li (0.0000, 0.5000, 0.0000)  2 In 2.63, 4 Mn 2.72, 2 Li 2.79
Mn (0.5000, 0.5000, 0.5000)  4 Mn 2.63-2.79, 2 In 2.72, 2 Li 2.72
Mn (0.0000, 0.0000, 0.5000)  4 Mn 2.63-2.79, 2 Li 2.72, 2 In 2.72
In (0.5000, 0.0000, 0.0000)  2 Li 2.63, 4 Mn 2.72, 2 In 2.79

=====

Computed, not measured: LiInMo2 at its PBEsol-relaxed geometry at the SCAN level of DFT.

Properties
SG: Pmmm (47)
size of the total moment: 0.00 Bohr magnetons per cell
E: -26.1985 eV per atom
energy of formation: 0.188 eV per atom

a b c (Å): 3.3938 3.9982 4.6143
angles (deg): 90.00 90.00 90.00
Last column: nearest neighbours and their distance in Å.
Fractional positions:
Mo (0.5000, 0.5000, 0.0000)  4 Mo 2.62, 4 Li 2.86
In (0.5000, 0.0000, 0.5000)  4 Li 2.62, 4 Mo 2.86
Li (0.0000, 0.5000, 0.5000)  4 In 2.62, 4 Mo 2.86
Mo (0.0000, 0.0000, 0.0000)  4 Mo 2.62, 4 In 2.86